(1)
DFT (PBE-GGA) results for a relaxed NaTcBr2 crystal.

```
4
Lattice="2.3193 0.0000 8.5279 -1.1596 2.0086 8.5279 -1.1596 -2.0086 8.5279" Properties=species:S:1:pos:R:3 pbc="T T T"
Na 0.0000 0.0000 12.7919
Tc 0.0000 0.0000 0.0000
Br 0.0000 0.0000 23.0637
Br 0.0000 0.0000 2.5201
```

Results
Space-group type: R-3m, No. 166
M_tot: 1.0000 μB per atom
ΔE_f (raw): -0.070 eV/atom

(2)
DFT (PBE-GGA) results for a relaxed Ni5Ru crystal.

```
6
Lattice="0.4528 3.0990 3.3983 -3.2287 0.5930 -3.2528 -2.6096 -2.0494 2.2166" Properties=species:S:1:pos:R:3 pbc="T T T"
Ni -2.9191 -0.7282 -0.5181
Ni -2.0015 1.4283 -1.0358
Ni -1.0784 0.5248 2.8075
Ni -2.6927 0.8213 1.1810
Ni -0.7743 2.2636 1.1813
Ru 0.0000 0.0000 0.0000
```

Results
Space-group type: P6/mmm, No. 191
M_tot: 0.8844 μB per atom
DFT formation energy: 0.342 eV/atom

(3)
DFT (PBE-GGA) results for a relaxed InCuI2O crystal.

```
5
Lattice="5.7980 0.0000 0.0000 0.0000 5.7980 0.0000 0.0000 0.0000 3.7493" Properties=species:S:1:pos:R:3 pbc="T T T"
I 0.0000 2.8990 0.0000
I 2.8990 0.0000 0.0000
O 0.0000 0.0000 1.8747
Cu 0.0000 0.0000 0.0000
In 2.8990 2.8990 1.8747
```

Results
Space-group type: P4/mmm, No. 123
M_tot: 0.2481 μB per atom
ΔE_f (raw): -0.115 eV/atom

(4)
DFT (PBE-GGA) results for a relaxed Ce2LuBi crystal.

```
4
Lattice="5.1840 0.0000 0.0000 0.0000 4.6053 0.0000 0.0000 0.0000 4.6053" Properties=species:S:1:pos:R:3 pbc="T T T"
Lu 2.5920 0.0000 0.0000
Bi 2.5920 2.3027 2.3027
Ce 0.0000 0.0000 2.3027
Ce 0.0000 2.3027 0.0000
```

Results
Space-group type: P4/mmm, No. 123
M_tot: 0.3276 μB per atom
DFT formation energy: -0.342 eV/atom

- Which value of M_tot does entry 1 give?
  1.0000 μB per atom